A relaxed structure of FeOs2W. Source: Alexandria, functional GGA-PBE.

Cell: 3.806 3.806 17.331 Å, 90.00 90.00 90.00°
Space group I-42d (No. 122)
Unique sites:
Fe 0.000 0.000 0.000 (multiplicity 4)
Os 0.209 0.250 0.125 (multiplicity 8)
W 0.000 0.000 0.500 (multiplicity 4)

Computed properties:
**Energy of formation**: 0.805 eV per atom
**Size of the total moment**: 6.79 μB per cell
**Energy relative to the lowest polymorph listed for this composition**: 0.763 eV/atom